[1]
Compound: SrBeFe2
Source: Alexandria via LeMat-Bulk
Functional: GGA-PBE
Structure: relaxed

- space group = R3m (160)
- calculated total energy (eV per atom) = -5.40
- energy of formation from the pure elements (eV/f.u.) = 0.74
- volume (Å³/atom) = 17.47

abc: 3.8763 3.8763 5.8204
angles: 70.51 70.51 60.01
Each line ends with the local moment (μB).
Atoms (fractional coordinates):
Sr 0.5017 0.5017 0.4932  -0.03
Fe 0.9956 0.9956 0.0137  0.52
Fe 0.3182 0.3182 0.0458  0.38
Be 0.6845 0.6845 0.9473  -0.01

***

[2]
Compound: SrBeFe2
Source: Alexandria via LeMat-Bulk
Functional: GGA-PBE
Structure: relaxed

- space group = I4_1/amd (141)
- calculated total energy (eV per atom) = -4.95
- energy of formation from the pure elements (eV/f.u.) = 2.54
- volume (Å³/atom) = 20.54

abc: 4.5220 4.5220 8.6487
angles: 74.85 74.85 90.00
Each line ends with the local moment (μB).
Atoms (fractional coordinates):
Sr 0.0000 0.0000 0.0000  -0.08
Sr 0.7500 0.2500 0.5000  -0.08
Fe 0.3754 0.1250 0.2500  2.40
Fe 0.3746 0.6250 0.2500  2.34
Fe 0.3750 0.6246 0.7500  2.30
Fe 0.8750 0.6254 0.7500  2.24
Be 0.5000 0.5000 0.0000  -0.14
Be 0.2500 0.7500 0.5000  -0.14

***

[3]
Compound: SrBe2Fe
Source: Alexandria via LeMat-Bulk
Functional: GGA-PBE
Structure: relaxed

- space group = Immm (71)
- calculated total energy (eV per atom) = -3.62
- energy of formation from the pure elements (eV/f.u.) = 3.11
- volume (Å³/atom) = 16.88

abc: 5.2707 5.2707 5.2707
angles: 146.67 121.64 68.89
Each line ends with the local moment (μB).
Atoms (fractional coordinates):
Sr 0.7500 0.2500 0.5000  -0.04
Fe 0.2500 0.7500 0.5000  0.69
Be 0.0677 0.0677 0.0000  -0.03
Be 0.4323 0.4323 0.0000  -0.03

***

[4]
Compound: SrBeFe2
Source: Alexandria via LeMat-Bulk
Functional: GGA-PBE
Structure: relaxed

- space group = Pmmm (47)
- calculated total energy (eV per atom) = -4.62
- energy of formation from the pure elements (eV/f.u.) = 3.87
- volume (Å³/atom) = 16.46

abc: 3.0797 4.6938 4.5555
angles: 90.00 90.00 90.00
Each line ends with the local moment (μB).
Atoms (fractional coordinates):
Sr 0.5000 0.0000 0.5000  -0.13
Fe 0.0000 0.0000 0.0000  2.38
Fe 0.5000 0.5000 0.0000  2.71
Be 0.0000 0.5000 0.5000  -0.09